No. 1
CaTl2W | the Alexandria database | SCAN | PBEsol geometry; energy above the most stable polymorph in this dataset = 32 meV per atom; calculated formation energy = 652 meV per atom; total moment = 0.0000 μB/atom; E = -221.5 eV per cell
1.0
3.052 0.000 0.000
0.000 5.416 0.016
0.000 -1.792 5.110
W Tl Ca
1 2 1
direct
0.500 0.000 0.000
0.000 0.500 0.000
0.000 0.000 0.500
0.500 0.500 0.500

=====

No. 2
Ca2YTl | the Alexandria database | SCAN | PBEsol geometry; energy above the most stable polymorph in this dataset = 105 meV per atom; calculated formation energy = -210 meV per atom; total moment = 0.0000 μB/atom; E = -120.4 eV per cell
1.0
3.602 0.000 0.000
0.000 4.662 0.000
0.000 0.000 7.306
Y Ca Tl
1 2 1
direct
0.500 0.500 0.718
0.500 0.500 0.278
0.000 0.000 0.987
0.000 0.000 0.517

=====

No. 3
Ca2YTl | the Alexandria database | SCAN | PBEsol geometry; energy above the most stable polymorph in this dataset = 127 meV per atom; calculated formation energy = -188 meV per atom; total moment = 0.0395 μB/atom; E = -120.3 eV per cell
1.0
3.566 0.000 0.000
0.000 5.003 0.000
0.000 0.000 6.798
Tl Ca Y
1 2 1
direct
0.500 0.500 0.000
0.000 0.000 0.235
0.000 0.000 0.765
0.500 0.500 0.500

=====

No. 4
Ca2YTl | the Alexandria database | SCAN | PBEsol geometry; energy above the most stable polymorph in this dataset = 28 meV per atom; calculated formation energy = -288 meV per atom; total moment = 0.1281 μB/atom; E = -120.7 eV per cell
1.0
3.677 0.000 0.000
0.000 3.677 0.000
0.000 0.000 9.603
Ca Tl Y
2 1 1
direct
0.500 0.500 0.300
0.000 0.000 0.988
0.000 0.000 0.508
0.500 0.500 0.705

=====

No. 5
CaY2Tl | the Alexandria database | SCAN | PBEsol geometry; energy above the most stable polymorph in this dataset = 0 meV per atom; calculated formation energy = -322 meV per atom; total moment = 0.0000 μB/atom; E = -139.0 eV per cell
1.0
-1.847 -2.979 -1.412
3.531 -0.246 -4.100
2.551 -1.978 5.893
Tl Ca Y
1 1 2
direct
0.500 0.000 0.000
0.000 0.500 0.000
0.215 0.215 0.431
0.785 0.785 0.569

=====

No. 6
Ca2YTl | the Alexandria database | SCAN | PBEsol geometry; energy above the most stable polymorph in this dataset = 182 meV per atom; calculated formation energy = -133 meV per atom; total moment = 0.0000 μB/atom; E = -120.1 eV per cell
1.0
-0.992 -3.199 1.333
5.670 -0.942 1.956
-3.354 2.797 4.217
Ca Y Tl
2 1 1
direct
0.000 0.500 0.000
0.000 0.000 0.500
0.500 0.500 0.500
0.500 0.000 0.000